Crystalline Co2NiAu at its relaxed geometry, computed with PBE.

Summary:
**Energy relative to the lowest polymorph listed for this composition**: 0 meV per atom
**D(E_F)**: 5.403 states/eV/cell
**Formation energy from the elements**: 0.133 eV per atom
**Crystal system**: tetragonal

a b c (Å): 2.702 2.702 7.052
angles (deg): 90.00 90.00 90.00
Space group P4mm (No. 99)
One atom of each set of equivalent atoms:
1 Co 0.000 0.000 0.000 [1 per cell]
2 Co 0.500 0.500 0.212 [1 per cell]
3 Ni 0.000 0.000 0.435 [1 per cell]
4 Au 0.500 0.500 0.715 [1 per cell]